No. 1
Below is a relaxed AgBSe2 crystal, with properties calculated at the PBE level.

Lattice parameters (Å, degrees): 6.972 6.972 13.667 100.11 100.11 91.67
Fractional positions:
1 Ag 0.085 0.863 0.926
2 Ag 0.137 0.915 0.574
3 Ag 0.177 0.361 0.582
4 Ag 0.361 0.177 0.082
5 Ag 0.639 0.823 0.918
6 Ag 0.823 0.639 0.418
7 Ag 0.863 0.085 0.426
8 Ag 0.915 0.137 0.074
9 B 0.052 0.265 0.828
10 B 0.256 0.563 0.334
11 B 0.265 0.052 0.328
12 B 0.437 0.744 0.166
13 B 0.563 0.256 0.834
14 B 0.735 0.948 0.672
15 B 0.744 0.437 0.666
16 B 0.948 0.735 0.172
17 Se 0.018 0.982 0.750
18 Se 0.026 0.479 0.741
19 Se 0.154 0.679 0.074
20 Se 0.318 0.336 0.420
21 Se 0.321 0.846 0.426
22 Se 0.336 0.318 0.920
23 Se 0.471 0.529 0.250
24 Se 0.479 0.026 0.241
25 Se 0.521 0.974 0.759
26 Se 0.529 0.471 0.750
27 Se 0.664 0.682 0.080
28 Se 0.679 0.154 0.574
29 Se 0.682 0.664 0.580
30 Se 0.846 0.321 0.926
31 Se 0.974 0.521 0.259
32 Se 0.982 0.018 0.250

Properties
The density of states at the Fermi level is 0.00 states/eV/cell. As for the size of the total moment: 0.000 μB per cell. Its total energy is -4.190 eV per atom.


No. 2
Below is a relaxed AgBSe2 crystal, with properties calculated at the PBE level.

Lattice parameters (Å, degrees): 7.772 7.772 7.772 25.04 25.04 25.04
Fractional positions:
1 Ag 0.000 0.000 0.000
2 B 0.500 0.500 0.500
3 Se 0.112 0.112 0.112
4 Se 0.888 0.888 0.888

Properties
The density of states at the Fermi level is 1.50 states/eV/cell. As for the size of the total moment: 0.000 μB per cell. Its total energy is -3.719 eV per atom.


No. 3
Below is a relaxed AgBSe2 crystal, with properties calculated at the PBE level.

Lattice parameters (Å, degrees): 6.548 6.548 5.575 104.56 104.56 107.27
Fractional positions:
1 Ag 0.065 0.935 0.750
2 Ag 0.935 0.065 0.250
3 B 0.496 0.504 0.750
4 B 0.504 0.496 0.250
5 Se 0.245 0.461 0.408
6 Se 0.461 0.245 0.908
7 Se 0.539 0.755 0.092
8 Se 0.755 0.539 0.592

Properties
The density of states at the Fermi level is 0.00 states/eV/cell. As for the size of the total moment: 0.000 μB per cell. Its total energy is -4.193 eV per atom.


No. 4
Below is a relaxed AgBSe2 crystal, with properties calculated at the PBE level.

Lattice parameters (Å, degrees): 5.932 5.932 5.932 102.68 102.68 124.13
Fractional positions:
1 Ag 0.250 0.250 0.000
2 Ag 0.750 0.750 0.000
3 B 0.250 0.750 0.500
4 B 0.750 0.250 0.500
5 Se 0.148 0.648 0.796
6 Se 0.352 0.148 0.500
7 Se 0.648 0.852 0.500
8 Se 0.852 0.352 0.204

Properties
The density of states at the Fermi level is 0.00 states/eV/cell. As for the size of the total moment: 0.000 μB per cell. Its total energy is -4.116 eV per atom.


No. 5
Below is a relaxed AgBSe2 crystal, with properties calculated at the PBE level.

Lattice parameters (Å, degrees): 5.728 5.728 5.587 110.82 110.82 93.16
Fractional positions:
1 Ag 0.059 0.941 0.750
2 Ag 0.941 0.059 0.250
3 B 0.490 0.510 0.250
4 B 0.510 0.490 0.750
5 Se 0.207 0.458 0.862
6 Se 0.458 0.207 0.362
7 Se 0.542 0.793 0.638
8 Se 0.793 0.542 0.138

Properties
The density of states at the Fermi level is 0.00 states/eV/cell. As for the size of the total moment: 0.000 μB per cell. Its total energy is -4.159 eV per atom.


No. 6
Below is a relaxed AgBSe2 crystal, with properties calculated at the PBE level.

Lattice parameters (Å, degrees): 4.604 5.977 6.907 89.98 82.25 89.94
Fractional positions:
1 Ag 0.000 0.000 0.000
2 Ag 0.184 0.500 0.041
3 B 0.191 0.986 0.413
4 B 0.994 0.486 0.627
5 Se 0.241 0.322 0.419
6 Se 0.426 0.862 0.182
7 Se 0.759 0.362 0.859
8 Se 0.944 0.822 0.622

Properties
The density of states at the Fermi level is 0.00 states/eV/cell. As for the size of the total moment: 0.000 μB per cell. Its total energy is -4.156 eV per atom.


No. 7
Below is a relaxed Ag4BSe4 crystal, with properties calculated at the PBE level.

Lattice parameters (Å, degrees): 6.356 6.356 6.565 117.57 117.57 90.56
Fractional positions:
1 Ag 0.000 0.000 0.000
2 Ag 0.270 0.851 0.724
3 Ag 0.739 0.739 0.420
4 Ag 0.851 0.270 0.724
5 B 0.353 0.353 0.708
6 Se 0.022 0.382 0.449
7 Se 0.329 0.329 0.004
8 Se 0.382 0.022 0.449
9 Se 0.661 0.661 0.945

Properties
The density of states at the Fermi level is 3.52 states/eV/cell. As for the size of the total moment: 0.000 μB per cell. Its total energy is -3.552 eV per atom.


No. 8
Below is a relaxed AgBSe2 crystal, with properties calculated at the PBE level.

Lattice parameters (Å, degrees): 7.252 7.252 7.252 29.36 29.36 29.36
Fractional positions:
1 Ag 0.000 0.000 0.000
2 B 0.502 0.502 0.502
3 Se 0.410 0.410 0.410
4 Se 0.877 0.877 0.877

Properties
The density of states at the Fermi level is 0.37 states/eV/cell. As for the size of the total moment: 0.000 μB per cell. Its total energy is -3.915 eV per atom.